Entry 1:
Compound: Sc2Cr2Au
Source: the Alexandria database
Functional: PBE
Structure: optimized geometry

Cell lengths 6.726, 6.726, 3.875 Å; angles 90.00, 90.00, 90.00 degrees
Fractional positions:
Au  0.000  0.000  0.000
Cr  0.101  0.399  0.000
Sc  0.688  0.812  0.500
Sc  0.312  0.188  0.500
Cr  0.601  0.101  0.000
Cr  0.399  0.899  0.000
Au  0.500  0.500  0.000
Sc  0.812  0.312  0.500
Cr  0.899  0.601  0.000
Sc  0.188  0.688  0.500

Computed properties:
Formation enthalpy at 0 K: -0.01 eV per formula unit


Entry 2:
Compound: ScCr4Au
Source: the Alexandria database
Functional: PBE
Structure: optimized geometry

Cell lengths 4.929, 4.929, 4.929 Å; angles 60.00, 60.00, 60.00 degrees
Fractional positions:
Au  0.000  0.000  0.000
Cr  0.131  0.623  0.623
Sc  0.250  0.250  0.250
Cr  0.623  0.623  0.623
Cr  0.623  0.623  0.131
Cr  0.623  0.131  0.623

Computed properties:
Formation enthalpy at 0 K: 0.93 eV per formula unit


Entry 3:
Compound: ScCr3Au
Source: the Alexandria database
Functional: PBE
Structure: optimized geometry

Cell lengths 4.949, 4.949, 4.949 Å; angles 90.00, 90.00, 90.00 degrees
Site moments in Bohr magnetons follow the coordinates.
Fractional positions:
Cr  0.000  0.500  0.000  3.67
Cr  0.000  0.000  0.500  3.75
Au  0.000  0.000  0.000  0.24
Cr  0.500  0.000  0.000  3.44
Sc  0.500  0.500  0.500  -0.22

Computed properties:
Formation enthalpy at 0 K: 5.88 eV per formula unit
E above lowest polymorph: 0 meV/atom


Entry 4:
Compound: ScCrAuSe2
Source: the Alexandria database
Functional: PBE
Structure: optimized geometry

Cell lengths 5.133, 4.870, 5.133 Å; angles 90.00, 90.00, 90.00 degrees
Site moments in Bohr magnetons follow the coordinates.
Fractional positions:
Au  0.000  0.000  0.000  0.09
Se  0.000  0.000  0.500  0.02
Cr  0.000  0.500  0.000  4.00
Se  0.500  0.000  0.000  0.00
Sc  0.500  0.500  0.500  -0.08

Computed properties:
Uncorrected formation energy: 0.43 eV per atom


Entry 5:
Compound: ScTaCrAu2
Source: the Alexandria database
Functional: PBE
Structure: optimized geometry

Cell lengths 4.914, 4.356, 4.914 Å; angles 90.00, 90.00, 90.00 degrees
Site moments in Bohr magnetons follow the coordinates.
Fractional positions:
Sc  0.500  0.500  0.500  -0.01
Au  0.000  0.000  0.500  0.06
Au  0.500  0.000  0.000  0.02
Cr  0.000  0.000  0.000  0.63
Ta  0.000  0.500  0.000  -0.19

Computed properties:
Formation enthalpy at 0 K: 3.14 eV per formula unit


Entry 6:
Compound: ScCr2TeAu
Source: the Alexandria database
Functional: PBE
Structure: optimized geometry

Cell lengths 4.931, 4.931, 5.256 Å; angles 90.00, 90.00, 90.00 degrees
Site moments in Bohr magnetons follow the coordinates.
Fractional positions:
Cr  0.500  0.000  0.000  3.60
Te  0.000  0.000  0.500  0.04
Cr  0.000  0.500  0.000  3.60
Sc  0.000  0.000  0.000  -0.07
Au  0.500  0.500  0.500  -0.03

Computed properties:
Uncorrected formation energy: 1.21 eV per atom